The following is a PBE-GGA calculation of a geometry-optimized MnHgTe2 structure, from the Alexandria database.

Summary:
**DOS(E_F)**: 8.2 states/eV per cell
**Space group**: No. 216
**Energy relative to the elements, uncorrected**: 0.4172 eV per atom

Cell: 7.419 7.419 7.419 Å, 90.00 90.00 90.00°
Atoms (fractional coordinates):
Mn: 0.000 0.000 0.000
Mn: 0.000 0.500 0.500
Mn: 0.500 0.000 0.500
Mn: 0.500 0.500 0.000
Hg: 0.250 0.250 0.250
Hg: 0.250 0.750 0.750
Hg: 0.750 0.250 0.750
Hg: 0.750 0.750 0.250
Te: 0.000 0.000 0.500
Te: 0.000 0.500 0.000
Te: 0.250 0.250 0.750
Te: 0.250 0.750 0.250
Te: 0.500 0.000 0.000
Te: 0.500 0.500 0.500
Te: 0.750 0.250 0.250
Te: 0.750 0.750 0.750

The following is a PBE-GGA calculation of a geometry-optimized AlOsAu2 structure, from the Alexandria database.

Summary:
**DOS(E_F)**: 9.5 states/eV per cell
**Space group**: No. 122
**Raw total energy**: -4.9582 eV per atom

Cell: 3.783 3.783 19.574 Å, 90.00 90.00 90.00°
Atoms (fractional coordinates):
Al: 0.000 0.000 0.000
Al: 0.000 0.500 0.250
Al: 0.500 0.000 0.750
Al: 0.500 0.500 0.500
Os: 0.000 0.000 0.500
Os: 0.000 0.500 0.750
Os: 0.500 0.000 0.250
Os: 0.500 0.500 0.000
Au: 0.249 0.250 0.625
Au: 0.250 0.749 0.875
Au: 0.250 0.751 0.375
Au: 0.251 0.250 0.125
Au: 0.749 0.750 0.125
Au: 0.750 0.249 0.375
Au: 0.750 0.251 0.875
Au: 0.751 0.750 0.625